Record 1
DFT (PBE-GGA) results for a relaxed structure of Cr2CuRe.

Properties
electronic total energy = -8.653 eV per atom
magnetic moment = 0.00 μB per formula unit
polymorph energy (0 for the lowest one) = 0.0828 eV/atom
energy of formation from the pure elements = 0.29 eV/atom
crystal system = orthorhombic
mass density = 11.47 g/cm3

abc: 2.655 3.714 5.193
angles: 90.00 90.00 90.00
Space group Pmmm (No. 47)
Unique sites:
Cr  0.000  0.000  0.250 x2
Cu  0.500  0.500  0.000 x1
Re  0.500  0.500  0.500 x1

***

Record 2
DFT (PBE-GGA) results for a relaxed structure of Cr2CuRe.

Properties
electronic total energy = -8.705 eV per atom
magnetic moment = 0.00 μB per formula unit
polymorph energy (0 for the lowest one) = 0.0309 eV/atom
energy of formation from the pure elements = 0.24 eV/atom
crystal system = monoclinic
mass density = 11.52 g/cm3

abc: 5.109 8.426 2.516
angles: 90.00 109.67 90.00
Space group C2/m (No. 12)
Unique sites:
Cr  0.250  0.250  0.000 x4
Cu  0.000  0.000  0.500 x2
Re  0.000  0.500  0.500 x2

***

Record 3
DFT (PBE-GGA) results for a relaxed structure of CrCu2Re.

Properties
electronic total energy = -7.287 eV per atom
magnetic moment = 0.00 μB per formula unit
polymorph energy (0 for the lowest one) = 0.0631 eV/atom
energy of formation from the pure elements = 0.28 eV/atom
crystal system = tetragonal
mass density = 11.86 g/cm3

abc: 2.563 2.563 7.788
angles: 90.00 90.00 90.00
Space group P4mm (No. 99)
Unique sites:
Cr  0.000  0.000  0.000 x1
Cu  0.000  0.000  0.472 x1
Cu  0.500  0.500  0.236 x1
Re  0.500  0.500  0.731 x1

***

Record 4
DFT (PBE-GGA) results for a relaxed structure of CrCu2Re.

Properties
electronic total energy = -6.884 eV per atom
magnetic moment = 0.00 μB per formula unit
polymorph energy (0 for the lowest one) = 0.4662 eV/atom
energy of formation from the pure elements = 0.68 eV/atom
crystal system = tetragonal
mass density = 11.07 g/cm3

abc: 3.441 3.441 18.504
angles: 90.00 90.00 90.00
Space group I-42d (No. 122)
Unique sites:
Cr  0.000  0.000  0.000 x4
Cu  0.248  0.250  0.125 x8
Re  0.000  0.000  0.500 x4

***

Record 5
DFT (PBE-GGA) results for a relaxed structure of SrCr2CuRe.

Properties
electronic total energy = -6.698 eV per atom
magnetic moment = 5.09 μB per formula unit
energy of formation from the pure elements = 0.80 eV/atom
crystal system = tetragonal
mass density = 6.68 g/cm3

abc: 4.658 4.658 5.056
angles: 90.00 90.00 90.00
Space group P4/mmm (No. 123)
Unique sites:
Sr  0.000  0.000  0.000 x1
Cr  0.000  0.500  0.500 x2
Cu  0.500  0.500  0.000 x1
Re  0.500  0.500  0.500 x1

***

Record 6
DFT (PBE-GGA) results for a relaxed structure of TiCrCuRe.

Properties
electronic total energy = -8.508 eV per atom
magnetic moment = 0.24 μB per formula unit
energy of formation from the pure elements = 0.01 eV/atom
crystal system = cubic
mass density = 10.58 g/cm3

abc: 6.033 6.033 6.033
angles: 90.00 90.00 90.00
Space group F-43m (No. 216)
Unique sites:
Ti  0.000  0.000  0.000 x4
Cr  0.000  0.000  0.500 x4
Cu  0.250  0.250  0.750 x4
Re  0.250  0.250  0.250 x4

***

Record 7
DFT (PBE-GGA) results for a relaxed structure of Tl2CrCuRe.

Properties
electronic total energy = -4.967 eV per atom
magnetic moment = 2.21 μB per formula unit
energy of formation from the pure elements = 1.21 eV/atom
crystal system = tetragonal
mass density = 8.88 g/cm3

abc: 5.369 5.369 4.608
angles: 90.00 90.00 90.00
Space group P4/mmm (No. 123)
Unique sites:
Tl  0.000  0.500  0.000 x2
Cr  0.000  0.000  0.500 x1
Cu  0.500  0.500  0.500 x1
Re  0.000  0.000  0.000 x1

***

Record 8
DFT (PBE-GGA) results for a relaxed structure of YCrCuRe2.

Properties
electronic total energy = -8.181 eV per atom
magnetic moment = 0.00 μB per formula unit
energy of formation from the pure elements = 0.84 eV/atom
crystal system = tetragonal
mass density = 10.24 g/cm3

abc: 4.483 4.483 4.654
angles: 90.00 90.00 90.00
Space group P4/mmm (No. 123)
Unique sites:
Y  0.000  0.000  0.000 x1
Cr  0.500  0.500  0.500 x1
Cu  0.500  0.500  0.000 x1
Re  0.000  0.500  0.500 x2